(1)
Below is an optimized crystal structure of Ca3LaP3, with properties calculated at the GGA-PBE level.

Values from the calculation:
Energy of formation from the pure elements: -1.265 eV per atom
Theoretical density: 3.4 g/cm³
Total magnetization: 0.00 μB/cell

```
Ca3LaP3
1.0
8.852 0.000 0.000
0.000 8.852 0.000
0.000 0.000 8.852
P Ca La
12 12 4
Cartesian
5.548 8.850 6.642 P
1.122 4.427 2.209 P
4.425 6.635 3.304 P
6.642 5.548 8.850 P
2.217 7.730 0.001 P
6.635 3.304 4.425 P
4.427 2.209 1.122 P
0.001 2.217 7.730 P
2.209 1.122 4.427 P
7.730 0.001 2.217 P
3.304 4.425 6.635 P
8.850 6.642 5.548 P
6.069 6.069 6.069 Ca
2.783 1.643 7.209 Ca
7.243 6.034 2.817 Ca
7.209 2.783 1.643 Ca
1.643 7.209 2.783 Ca
2.817 7.243 6.034 Ca
3.876 4.976 0.550 Ca
4.976 0.550 3.876 Ca
0.550 3.876 4.976 Ca
8.302 8.302 8.302 Ca
6.034 2.817 7.243 Ca
1.609 1.609 1.609 Ca
0.572 4.998 8.280 La
8.280 0.572 4.998 La
4.998 8.280 0.572 La
3.854 3.854 3.854 La
```

---

(2)
Below is an optimized crystal structure of Pm3ErTm8, with properties calculated at the GGA-PBE level.

Values from the calculation:
Energy of formation from the pure elements: 0.300 eV per atom
Theoretical density: 8.0 g/cm³
Total magnetization: 0.00 μB/cell

```
Pm3ErTm8
1.0
8.168 -1.323 -2.236
-5.863 6.122 -1.268
1.180 1.323 8.386
Pm Tm Er
3 8 1
Cartesian
3.485 1.890 4.882 Pm
-2.342 3.723 3.559 Pm
0.000 4.232 0.001 Pm
-0.531 2.533 5.995 Tm
0.410 1.856 2.814 Tm
4.015 3.590 -1.112 Tm
-1.938 5.589 6.382 Tm
5.423 0.534 -1.500 Tm
3.074 4.266 2.070 Tm
0.612 4.912 4.258 Tm
2.873 1.210 0.624 Tm
0.000 0.000 0.000 Er
```

---

(3)
Below is an optimized crystal structure of Ac2Pr2Tm, with properties calculated at the GGA-PBE level.

Values from the calculation:
Offset from the most stable computed form: 0.0 kJ/mol of formula units
Energy of formation from the pure elements: 0.135 eV per atom
Theoretical density: 7.8 g/cm³
Total magnetization: 0.00 μB/cell

```
Ac2Pr2Tm
1.0
6.515 0.411 -1.075
-2.464 5.816 -1.970
0.570 -0.634 10.047
Pr Ac Tm
4 4 2
Cartesian
5.388 1.769 -1.299 Pr
-0.767 3.824 8.301 Pr
0.755 2.117 3.831 Pr
3.866 3.476 3.171 Pr
-0.405 4.655 1.688 Ac
5.027 0.938 5.314 Ac
2.372 3.367 6.749 Ac
2.249 2.226 0.253 Ac
2.087 -0.325 7.243 Tm
2.534 5.918 -0.241 Tm
```

---

(4)
Below is an optimized crystal structure of Ca3Nb5N12, with properties calculated at the GGA-PBE level.

Values from the calculation:
ΔE_f (raw): -10.13 eV/f.u.
Theoretical density: 4.4 g/cm³
Total magnetization: 19.53 μB/cell

```
Ca3Nb5N12
1.0
11.406 0.000 0.000
-3.802 10.753 0.000
-3.802 -5.377 9.313
Ca Nb N
12 20 48
Cartesian
-2.851 2.016 8.149 Ca
-0.950 4.705 5.820 Ca
4.752 0.672 3.492 Ca
2.851 0.000 6.984 Ca
-2.851 -2.016 8.149 Ca
-4.752 5.377 6.984 Ca
0.950 5.377 2.328 Ca
2.851 6.049 5.820 Ca
8.554 0.000 2.328 Ca
6.653 3.360 1.164 Ca
6.653 7.393 1.164 Ca
0.950 -0.672 3.492 Ca
5.703 0.000 0.000 Nb
3.802 -2.688 4.656 Nb
-0.950 0.672 5.820 Nb
-0.950 2.688 2.328 Nb
0.950 3.360 8.149 Nb
0.950 -2.688 6.984 Nb
2.851 2.016 1.164 Nb
4.752 -3.360 8.149 Nb
0.000 0.000 0.000 Nb
4.752 4.705 3.492 Nb
3.802 5.377 0.000 Nb
6.653 -0.672 5.820 Nb
2.851 8.065 2.328 Nb
-1.901 5.377 0.000 Nb
4.752 2.688 6.984 Nb
1.901 2.688 4.656 Nb
-1.901 -2.688 4.656 Nb
-0.950 8.737 1.164 Nb
-2.851 6.049 3.492 Nb
-3.802 2.688 4.656 Nb
-3.333 4.728 4.843 N
-3.667 4.255 9.126 N
2.532 6.801 0.878 N
0.134 3.411 3.778 N
2.035 -1.966 5.534 N
4.433 -1.473 8.518 N
-2.370 6.235 7.453 N
0.936 1.000 5.451 N
-2.837 9.221 1.065 N
-0.936 -2.844 6.516 N
5.837 9.632 0.186 N
3.333 -1.507 2.983 N
6.638 -3.844 8.248 N
7.135 0.649 4.470 N
-0.631 6.849 0.795 N
1.432 3.869 6.329 N
1.766 7.343 3.778 N
-2.035 -4.255 9.126 N
4.433 1.425 8.434 N
7.469 1.122 0.186 N
-1.432 -0.649 4.470 N
-1.270 0.048 7.640 N
-2.035 2.289 5.721 N
0.469 6.884 6.329 N
2.532 3.904 0.795 N
-0.936 3.844 8.248 N
7.738 -2.289 5.721 N
4.767 -1.000 5.451 N
4.271 4.518 7.453 N
-3.936 7.666 3.592 N
2.370 1.507 2.983 N
8.569 2.532 2.797 N
1.270 -1.425 8.434 N
2.866 4.376 3.862 N
8.235 5.425 1.673 N
-4.767 2.844 6.516 N
-0.965 6.377 3.862 N
6.171 -0.858 1.859 N
-4.433 -0.048 7.640 N
1.270 1.473 8.518 N
5.072 5.328 1.673 N
5.837 3.088 3.592 N
4.737 1.532 1.065 N
-0.469 0.858 1.859 N
4.737 8.221 2.797 N
3.667 1.966 5.534 N
5.234 6.026 4.843 N
-0.631 3.952 0.878 N
```